{
  "formula": "Pm5Pr3Ru2",
  "functional": "PBE",
  "state": "optimized geometry",
  "cell": [[-6.237, 7.203, 3.504], [6.237, -7.203, 3.504], [6.237, 7.203, -3.504]],
  "species": ["Pm", "Pm", "Pm", "Pm", "Pm", "Pm", "Pm", "Pm", "Pm", "Pm", "Pr", "Pr", "Pr", "Pr", "Pr", "Pr", "Ru", "Ru", "Ru", "Ru"],
  "fractional_positions": [[0.021, 0.250, 0.771], [0.065, 0.215, 0.280], [0.250, 0.250, 0.000], [0.435, 0.715, 0.149], [0.479, 0.250, 0.229], [0.521, 0.750, 0.771], [0.565, 0.285, 0.851], [0.750, 0.750, 0.000], [0.935, 0.785, 0.720], [0.979, 0.750, 0.229], [0.178, 0.742, 0.920], [0.250, 0.750, 0.500], [0.322, 0.242, 0.564], [0.678, 0.758, 0.436], [0.750, 0.250, 0.500], [0.822, 0.258, 0.080], [0.158, 0.392, 0.550], [0.342, 0.892, 0.233], [0.658, 0.108, 0.767], [0.842, 0.608, 0.450]],
  "e_form_kj_per_mol_fu": 19,
  "magmom_total_mub_per_fu": 0.0,
  "crystal_system": "orthorhombic",
  "sg": "No. 72",
  "final_energy_ev_per_cell": -112.9
}